*w*
# GGA-PBE Tl2GePbS4, relaxed
data_Tl2GePbS4
_cell_length_a 10.7073
_cell_length_b 9.3060
_cell_length_c 9.2394
_cell_angle_alpha 90.00
_cell_angle_beta 93.93
_cell_angle_gamma 90.00
_space_group_name_H-M_alt 'P 1 21/c 1'
_space_group_IT_number 14
_space_group_name_Hall '-P 2ybc'
loop_
_atom_site_label
_atom_site_type_symbol
_atom_site_fract_x
_atom_site_fract_y
_atom_site_fract_z
Tl1 Tl 0.0614 0.1911 0.0831
Tl2 Tl 0.2305 0.6087 0.9252
Ge1 Ge 0.2632 0.0329 0.7977
Pb1 Pb 0.4462 0.1872 0.1114
S1 S 0.0835 0.5269 0.1813
S2 S 0.2703 0.2247 0.3249
S3 S 0.2964 0.5585 0.5208
S4 S 0.4237 0.5244 0.1648
# Volume = 28.7 A^3/atom

*x*
# GGA-PBE Tl2GePbS4, relaxed
data_Tl2GePbS4
_cell_length_a 8.5376
_cell_length_b 9.3832
_cell_length_c 6.1757
_cell_angle_alpha 90.00
_cell_angle_beta 90.00
_cell_angle_gamma 90.00
_space_group_name_H-M_alt 'P m n 21'
_space_group_IT_number 31
_space_group_name_Hall 'P 2ac -2'
loop_
_atom_site_label
_atom_site_type_symbol
_atom_site_fract_x
_atom_site_fract_y
_atom_site_fract_z
Tl1 Tl 0.2069 0.1538 0.0000
Ge1 Ge 0.0000 0.6800 0.9210
Pb1 Pb 0.0000 0.3998 0.4756
S1 S 0.0000 0.4467 0.0061
S2 S 0.0000 0.6927 0.5544
S3 S 0.2197 0.7922 0.0200
# Volume = 30.9 A^3/atom

The data favor *w*; the next most stable structure lies 5.3 kJ/mol of atoms above it.